[1]
Entry from Alexandria: AcNi3AsP after structural relaxation (PBE).

## Properties
Crystal system: orthorhombic
Calculated formation energy (eV per atom): -0.601

Cell: 6.0475 12.4654 5.7664 Å, 90.00 90.00 90.00°
Last column: nearest neighbours and their distance in Å.
Space group Cmcm (No. 63)
Unique sites:
Ac  0.0000  0.2375  0.2500  4 Ni 2.88-3.03
Ni  0.0000  0.2426  0.7500  1 P 2.10, 1 As 2.23
Ni  0.2129  0.5000  0.0000  2 P 2.23, 2 As 2.39
As  0.0000  0.0640  0.7500  5 Ni 2.23-2.39
P  0.0000  0.4112  0.7500  5 Ni 2.10-2.23

=====

[2]
Entry from Alexandria: Ac2NiAs3Pd4 after structural relaxation (PBE).

## Properties
Crystal system: tetragonal
Calculated formation energy (eV per atom): -0.800

Cell: 4.4587 4.4587 10.1799 Å, 90.00 90.00 90.00°
Last column: nearest neighbours and their distance in Å.
Space group P-4m2 (No. 115)
Unique sites:
Ac  0.0000  0.5000  0.2461  6 As 3.35-3.38, 2 Ni 3.35, 9 Pd 3.41-3.70
Ni  0.5000  0.5000  0.0000  4 Pd 2.53
As  0.0000  0.0000  0.0000  4 Pd 2.53
As  0.0000  0.5000  0.6332  5 Pd 2.53-2.61
Pd  0.0000  0.0000  0.5000  4 As 2.61
Pd  0.0000  0.5000  0.8822  3 As 2.53, 2 Ni 2.53
Pd  0.5000  0.5000  0.5000  4 As 2.61

=====

[3]
Entry from Alexandria: AcNiAs2Pd after structural relaxation (PBE).

## Properties
Crystal system: tetragonal
Calculated formation energy (eV per atom): -0.797

Cell: 4.3748 4.3748 10.3741 Å, 90.00 90.00 90.00°
Last column: nearest neighbours and their distance in Å.
Space group I-4m2 (No. 119)
Unique sites:
Ac  0.0000  0.0000  0.0000  8 As 3.38, 4 Ni 3.39, 4 Pd 3.39
Ni  0.0000  0.5000  0.7500  4 As 2.51
As  0.0000  0.0000  0.3683  2 Ni 2.51, 2 Pd 2.51, 1 As 2.73
Pd  0.0000  0.5000  0.2500  4 As 2.51

=====

[4]
Entry from Alexandria: Ac2Ni4As3Pd after structural relaxation (PBE).

## Properties
Crystal system: tetragonal
Calculated formation energy (eV per atom): -0.713

Cell: 4.2947 4.2947 9.8797 Å, 90.00 90.00 90.00°
Last column: nearest neighbours and their distance in Å.
Space group P-4m2 (No. 115)
Unique sites:
Ac  0.0000  0.5000  0.2490  8 Ni 3.26-3.27, 6 As 3.28, 2 Pd 3.28
Ni  0.0000  0.0000  0.0000  4 As 2.47
Ni  0.0000  0.5000  0.6321  3 As 2.42-2.51, 2 Pd 2.51
Ni  0.5000  0.5000  0.0000  4 As 2.47
As  0.0000  0.5000  0.8766  5 Ni 2.42-2.47
As  0.5000  0.5000  0.5000  4 Ni 2.51
Pd  0.0000  0.0000  0.5000  4 Ni 2.51